VASP calculation (GGA-PBE) on a geometry-optimized MgZn2H2 structure.

Calculated values
**SG**: P4/mbm
**V**: 137.4 Å³ per cell
**ΔE to the lowest computed polymorph**: 521 meV per atom

Cell and atoms, written as POSCAR:
```
MgZn2H2
1.0
7.1237 0.0000 0.0000
0.0000 7.1237 0.0000
0.0000 0.0000 2.7074
Mg Zn H
2 4 4
direct
0.0000 0.0000 0.0000
0.5000 0.5000 0.0000
0.1243 0.3757 0.0000
0.3757 0.8757 0.0000
0.6243 0.1243 0.0000
0.8757 0.6243 0.0000
0.1092 0.6092 0.5000
0.3908 0.1092 0.5000
0.6092 0.8908 0.5000
0.8908 0.3908 0.5000
```